Compound: Zr6Al16Ru7
Source: Alexandria via LeMat-Bulk
Functional: PBE
Structure: optimized geometry

abc: 8.7348 8.7348 8.7348
angles: 60.00 60.00 60.00
Fractional coordinates of all 29 atoms:
Zr: 0.2050 0.2050 0.7950
Zr: 0.2050 0.7950 0.2050
Zr: 0.2050 0.7950 0.7950
Zr: 0.7950 0.2050 0.2050
Zr: 0.7950 0.2050 0.7950
Zr: 0.7950 0.7950 0.2050
Al: 0.1409 0.6197 0.6197
Al: 0.1632 0.1632 0.1632
Al: 0.1632 0.1632 0.5103
Al: 0.1632 0.5103 0.1632
Al: 0.3803 0.3803 0.3803
Al: 0.3803 0.3803 0.8591
Al: 0.3803 0.8591 0.3803
Al: 0.4897 0.8368 0.8368
Al: 0.5103 0.1632 0.1632
Al: 0.6197 0.1409 0.6197
Al: 0.6197 0.6197 0.1409
Al: 0.6197 0.6197 0.6197
Al: 0.8368 0.4897 0.8368
Al: 0.8368 0.8368 0.4897
Al: 0.8368 0.8368 0.8368
Al: 0.8591 0.3803 0.3803
Ru: 0.0000 0.0000 0.5000
Ru: 0.0000 0.5000 0.0000
Ru: 0.0000 0.5000 0.5000
Ru: 0.5000 0.0000 0.0000
Ru: 0.5000 0.0000 0.5000
Ru: 0.5000 0.5000 0.0000
Ru: 0.5000 0.5000 0.5000

Output
- SG: Fm-3m, No. 225
- V: 16.2 A^3/atom
- Formation energy from the elements: -18.80 eV per formula unit
- Total energy: -6.721 eV per atom
- Magnetic moment: 0.0 μB per cell